# 1
Density functional theory data (GGA-PBE) for crystalline Pm3Sn2Au9 at its relaxed geometry.

Cell and atoms, written as POSCAR:
```
Pm3Sn2Au9
1.0
7.2629 -4.4873 0.0000
7.2629 4.4873 0.0000
-0.9227 0.0000 4.8767
Pm Sn Au
3 2 9
Direct
0.0000 0.0000 0.0000 Pm
0.2783 0.2783 0.2589 Pm
0.7217 0.7217 0.7411 Pm
0.3234 0.6766 0.5000 Sn
0.6766 0.3234 0.5000 Sn
0.0057 0.3074 0.7000 Au
0.1481 0.5582 0.8099 Au
0.3074 0.0057 0.7000 Au
0.4418 0.8519 0.1901 Au
0.5000 0.5000 0.0000 Au
0.5582 0.1481 0.8099 Au
0.6926 0.9943 0.3000 Au
0.8519 0.4418 0.1901 Au
0.9943 0.6926 0.3000 Au
```


# 2
Density functional theory data (GGA-PBE) for crystalline PmSnAu3 at its relaxed geometry.

Cell and atoms, written as POSCAR:
```
PmSnAu3
1.0
5.2099 0.0000 0.0000
0.0000 4.7771 0.0000
-2.4189 0.0000 8.9445
Pm Sn Au
2 2 6
Direct
0.0000 0.0000 0.0000 Pm
0.4474 0.5000 0.6121 Pm
0.3079 0.5000 0.2260 Sn
0.8875 0.0000 0.5801 Sn
0.0229 0.5000 0.7986 Au
0.1983 0.0000 0.3746 Au
0.3994 0.0000 0.8098 Au
0.6039 0.5000 0.9838 Au
0.6085 0.0000 0.1920 Au
0.8515 0.5000 0.3883 Au
```


# 3
Density functional theory data (GGA-PBE) for crystalline Pm2SnAu5 at its relaxed geometry.

Cell and atoms, written as POSCAR:
```
Pm2SnAu5
1.0
-3.2912 3.2912 4.1766
3.2912 -3.2912 4.1766
3.2912 3.2912 -4.1766
Pm Sn Au
2 1 5
Direct
0.0000 0.5000 0.5000 Pm
0.5000 0.0000 0.5000 Pm
0.0731 0.0731 0.0000 Sn
0.4659 0.4659 0.0000 Au
0.5275 0.5275 0.5551 Au
0.5275 0.9724 0.0000 Au
0.9724 0.5275 0.0000 Au
0.9724 0.9724 0.4449 Au
```


# 4
Density functional theory data (GGA-PBE) for crystalline PmSnAu3 at its relaxed geometry.

Cell and atoms, written as POSCAR:
```
PmSnAu3
1.0
7.5298 0.0000 0.0000
0.0000 7.6540 0.0000
-2.9197 0.0000 7.8886
Pm Sn Au
4 4 12
Direct
0.1964 0.0467 0.2341 Pm
0.1964 0.4533 0.7341 Pm
0.8036 0.5467 0.2659 Pm
0.8036 0.9533 0.7659 Pm
0.3984 0.7234 0.5372 Sn
0.3984 0.7766 0.0372 Sn
0.6016 0.2234 0.9628 Sn
0.6016 0.2766 0.4628 Sn
0.0355 0.6813 0.0378 Au
0.0355 0.8187 0.5378 Au
0.2022 0.0728 0.8646 Au
0.2022 0.4272 0.3646 Au
0.3856 0.1086 0.6261 Au
0.3856 0.3914 0.1261 Au
0.6144 0.6086 0.8739 Au
0.6144 0.8914 0.3739 Au
0.7978 0.5728 0.6354 Au
0.7978 0.9272 0.1354 Au
0.9645 0.1813 0.4622 Au
0.9645 0.3187 0.9622 Au
```


# 5
Density functional theory data (GGA-PBE) for crystalline PmSn2Au2 at its relaxed geometry.

Cell and atoms, written as POSCAR:
```
PmSn2Au2
1.0
4.8165 0.0000 0.0000
2.4078 4.1783 0.0000
0.0176 1.1121 6.2786
Pm Sn Au
1 2 2
Direct
0.0000 0.0000 0.0000 Pm
0.3679 0.2619 0.2990 Sn
0.6321 0.7381 0.7010 Sn
0.3031 0.3957 0.7480 Au
0.6969 0.6043 0.2520 Au
```


# 6
Density functional theory data (GGA-PBE) for crystalline Pm5Sn6Au at its relaxed geometry.

Cell and atoms, written as POSCAR:
```
Pm5Sn6Au
1.0
4.6614 -5.3530 0.0000
4.6614 5.3530 0.0000
-1.1660 0.0000 7.0210
Pm Sn Au
5 6 1
Direct
0.0000 0.0000 0.0000 Pm
0.1916 0.8084 0.5000 Pm
0.3413 0.6587 0.0000 Pm
0.6587 0.3413 0.0000 Pm
0.8084 0.1916 0.5000 Pm
0.0990 0.4036 0.2516 Sn
0.2591 0.2591 0.6947 Sn
0.4036 0.0990 0.2516 Sn
0.5964 0.9010 0.7484 Sn
0.7409 0.7409 0.3053 Sn
0.9010 0.5964 0.7484 Sn
0.5000 0.5000 0.5000 Au
```


# 7
Density functional theory data (GGA-PBE) for crystalline PmSnAu11 at its relaxed geometry.

Cell and atoms, written as POSCAR:
```
PmSnAu11
1.0
2.7923 -6.6316 0.0000
2.7923 6.6316 0.0000
-2.5912 0.0000 7.0438
Pm Sn Au
1 1 11
Direct
0.0000 0.0000 0.0000 Pm
0.5000 0.5000 0.5000 Sn
0.0000 0.0000 0.5000 Au
0.0000 0.5000 0.0000 Au
0.0205 0.6674 0.6586 Au
0.2989 0.5100 0.7915 Au
0.3326 0.9795 0.3414 Au
0.4900 0.7011 0.2085 Au
0.5000 0.0000 0.0000 Au
0.5100 0.2989 0.7915 Au
0.6674 0.0205 0.6586 Au
0.7011 0.4900 0.2085 Au
0.9795 0.3326 0.3414 Au
```


# 8
Density functional theory data (GGA-PBE) for crystalline Pm2Sn3Au2 at its relaxed geometry.

Cell and atoms, written as POSCAR:
```
Pm2Sn3Au2
1.0
5.5919 -2.2288 0.0000
5.5919 2.2288 0.0000
-0.8100 0.0000 7.0874
Pm Sn Au
2 3 2
Direct
0.1155 0.1155 0.3192 Pm
0.8845 0.8845 0.6808 Pm
0.1959 0.1959 0.8462 Sn
0.5000 0.5000 0.0000 Sn
0.8041 0.8041 0.1538 Sn
0.3976 0.3976 0.3719 Au
0.6024 0.6024 0.6281 Au
```


# 9
Density functional theory data (GGA-PBE) for crystalline PmSnAu4 at its relaxed geometry.

Cell and atoms, written as POSCAR:
```
PmSnAu4
1.0
2.6856 -2.6854 0.0000
2.6856 2.6854 0.0000
-0.1004 0.0000 9.1053
Pm Sn Au
1 1 4
Direct
0.0000 0.0000 0.0000 Pm
0.5000 0.5000 0.5000 Sn
0.0024 0.0024 0.3369 Au
0.4967 0.4967 0.8268 Au
0.5033 0.5033 0.1732 Au
0.9976 0.9976 0.6631 Au
```


# 10
Density functional theory data (GGA-PBE) for crystalline Pm3Sn4Au3 at its relaxed geometry.

Cell and atoms, written as POSCAR:
```
Pm3Sn4Au3
1.0
-5.0431 5.0431 5.0431
5.0431 -5.0431 5.0431
5.0431 5.0431 -5.0431
Pm Sn Au
6 8 6
Direct
0.1250 0.8750 0.2500 Pm
0.2500 0.1250 0.8750 Pm
0.3750 0.6250 0.7500 Pm
0.6250 0.7500 0.3750 Pm
0.7500 0.3750 0.6250 Pm
0.8750 0.2500 0.1250 Pm
0.0000 0.1727 0.5000 Sn
0.0000 0.6727 0.5000 Sn
0.1727 0.5000 0.0000 Sn
0.3273 0.3273 0.3273 Sn
0.5000 0.0000 0.1727 Sn
0.5000 0.0000 0.6727 Sn
0.6727 0.5000 0.0000 Sn
0.8273 0.8273 0.8273 Sn
0.1250 0.7500 0.8750 Au
0.2500 0.6250 0.3750 Au
0.3750 0.2500 0.6250 Au
0.6250 0.3750 0.2500 Au
0.7500 0.8750 0.1250 Au
0.8750 0.1250 0.7500 Au
```


# 11
Density functional theory data (GGA-PBE) for crystalline PmSn2Au9 at its relaxed geometry.

Cell and atoms, written as POSCAR:
```
PmSn2Au9
1.0
2.8145 1.6249 9.2938
-2.8145 1.6249 9.2938
0.0000 -3.2499 9.2938
Pm Sn Au
1 2 9
Direct
0.0000 0.0000 0.0000 Pm
0.1470 0.1470 0.1470 Sn
0.8530 0.8530 0.8530 Sn
0.0813 0.5853 0.5853 Au
0.3332 0.3332 0.3332 Au
0.4147 0.4147 0.9187 Au
0.4147 0.9187 0.4147 Au
0.5000 0.5000 0.5000 Au
0.5853 0.0813 0.5853 Au
0.5853 0.5853 0.0813 Au
0.6668 0.6668 0.6668 Au
0.9187 0.4147 0.4147 Au
```


# 12
Density functional theory data (GGA-PBE) for crystalline PmSnAu6 at its relaxed geometry.

Cell and atoms, written as POSCAR:
```
PmSnAu6
1.0
5.5153 0.0000 0.0000
0.0000 5.5153 0.0000
0.0000 0.0000 5.5153
Pm Sn Au
1 1 6
Direct
0.0000 0.0000 0.0000 Pm
0.5000 0.5000 0.5000 Sn
0.0000 0.2512 0.5000 Au
0.0000 0.7488 0.5000 Au
0.2512 0.5000 0.0000 Au
0.5000 0.0000 0.2512 Au
0.5000 0.0000 0.7488 Au
0.7488 0.5000 0.0000 Au
```


# 13
Density functional theory data (GGA-PBE) for crystalline Pm5Sn4Au at its relaxed geometry.

Cell and atoms, written as POSCAR:
```
Pm5Sn4Au
1.0
3.5342 0.0000 0.0000
0.0000 3.5342 0.0000
0.0000 0.0000 21.9612
Pm Sn Au
5 4 1
Direct
0.0000 0.0000 0.0000 Pm
0.0000 0.0000 0.2062 Pm
0.0000 0.0000 0.4102 Pm
0.0000 0.0000 0.5898 Pm
0.0000 0.0000 0.7938 Pm
0.5000 0.5000 0.1030 Sn
0.5000 0.5000 0.3085 Sn
0.5000 0.5000 0.6915 Sn
0.5000 0.5000 0.8970 Sn
0.5000 0.5000 0.5000 Au
```


# 14
Density functional theory data (GGA-PBE) for crystalline Pm4Sn2Au at its relaxed geometry.

Cell and atoms, written as POSCAR:
```
Pm4Sn2Au
1.0
5.8127 -2.3646 0.0000
5.8127 2.3646 0.0000
-4.6356 0.0000 7.6729
Pm Sn Au
4 2 1
Direct
0.0807 0.0807 0.3698 Pm
0.3180 0.3180 0.9283 Pm
0.6820 0.6820 0.0717 Pm
0.9193 0.9193 0.6302 Pm
0.3576 0.3576 0.3434 Sn
0.6424 0.6424 0.6566 Sn
0.0000 0.0000 0.0000 Au
```


# 15
Density functional theory data (GGA-PBE) for crystalline Pm2SnAu3 at its relaxed geometry.

Cell and atoms, written as POSCAR:
```
Pm2SnAu3
1.0
0.0000 4.7932 8.3150
3.5876 0.0000 8.3150
3.5876 4.7932 0.0000
Pm Sn Au
4 2 6
Direct
0.2371 0.7629 0.7629 Pm
0.2500 0.2500 0.2500 Pm
0.7500 0.7500 0.7500 Pm
0.7629 0.2371 0.2371 Pm
0.3348 0.3348 0.6652 Sn
0.6652 0.6652 0.3348 Sn
0.1681 0.1681 0.8319 Au
0.1677 0.6653 0.3347 Au
0.3347 0.8323 0.1677 Au
0.6653 0.1677 0.8323 Au
0.8323 0.3347 0.6653 Au
0.8319 0.8319 0.1681 Au
```


# 16
Density functional theory data (GGA-PBE) for crystalline PmSn2Au6 at its relaxed geometry.

Cell and atoms, written as POSCAR:
```
PmSn2Au6
1.0
4.6256 -7.2571 0.0000
4.6256 7.2571 0.0000
-1.0724 0.0000 5.7716
Pm Sn Au
2 4 12
Direct
0.1793 0.8207 0.7500 Pm
0.8207 0.1793 0.2500 Pm
0.2529 0.4401 0.0451 Sn
0.4401 0.2529 0.5451 Sn
0.5599 0.7471 0.4549 Sn
0.7471 0.5599 0.9549 Sn
0.0643 0.6164 0.2295 Au
0.0975 0.1552 0.6558 Au
0.1552 0.0975 0.1558 Au
0.2477 0.4967 0.5452 Au
0.3836 0.9357 0.2705 Au
0.4967 0.2477 0.0452 Au
0.5033 0.7523 0.9548 Au
0.6164 0.0643 0.7295 Au
0.7523 0.5033 0.4548 Au
0.8448 0.9025 0.8442 Au
0.9025 0.8448 0.3442 Au
0.9357 0.3836 0.7705 Au
```


# 17
Density functional theory data (GGA-PBE) for crystalline Pm3SnAu4 at its relaxed geometry.

Cell and atoms, written as POSCAR:
```
Pm3SnAu4
1.0
-1.9528 3.6975 7.3110
1.9528 -3.6975 7.3110
1.9528 3.6975 -7.3110
Pm Sn Au
3 1 4
Direct
0.0000 0.0000 0.0000 Pm
0.3171 0.8171 0.5000 Pm
0.6829 0.1829 0.5000 Pm
0.5000 0.5000 0.0000 Sn
0.0584 0.3652 0.6932 Au
0.3279 0.6348 0.6932 Au
0.6721 0.3652 0.3068 Au
0.9416 0.6348 0.3068 Au
```


# 18
Density functional theory data (GGA-PBE) for crystalline Pm2Sn3Au5 at its relaxed geometry.

Cell and atoms, written as POSCAR:
```
Pm2Sn3Au5
1.0
6.4660 -6.2266 0.0000
6.4660 6.2266 0.0000
-3.0390 0.0000 5.9203
Pm Sn Au
4 6 10
Direct
0.0909 0.3516 0.1918 Pm
0.3516 0.0909 0.6918 Pm
0.6484 0.9091 0.3082 Pm
0.9091 0.6484 0.8082 Pm
0.0078 0.7389 0.4053 Sn
0.2611 0.9922 0.0947 Sn
0.4989 0.5011 0.7500 Sn
0.5011 0.4989 0.2500 Sn
0.7389 0.0078 0.9053 Sn
0.9922 0.2611 0.5947 Sn
0.0098 0.9902 0.2500 Au
0.2353 0.4615 0.8802 Au
0.2580 0.7420 0.2500 Au
0.2718 0.7282 0.7500 Au
0.4615 0.2353 0.3802 Au
0.5385 0.7647 0.6198 Au
0.7282 0.2718 0.2500 Au
0.7420 0.2580 0.7500 Au
0.7647 0.5385 0.1198 Au
0.9902 0.0098 0.7500 Au
```


# 19
Density functional theory data (GGA-PBE) for crystalline Pm2Sn3Au at its relaxed geometry.

Cell and atoms, written as POSCAR:
```
Pm2Sn3Au
1.0
4.4853 0.0000 0.0000
0.0000 4.4853 0.0000
0.0000 0.0000 7.9078
Pm Sn Au
2 3 1
Direct
0.0000 0.5000 0.1725 Pm
0.5000 0.0000 0.8275 Pm
0.0000 0.5000 0.7747 Sn
0.5000 0.0000 0.2253 Sn
0.5000 0.5000 0.5000 Sn
0.0000 0.0000 0.5000 Au
```


# 20
Density functional theory data (GGA-PBE) for crystalline PmSn4Au2 at its relaxed geometry.

Cell and atoms, written as POSCAR:
```
PmSn4Au2
1.0
2.3822 -10.3446 0.0000
2.3822 10.3446 0.0000
0.0000 0.0000 3.6379
Pm Sn Au
1 4 2
Direct
0.0000 0.0000 0.0000 Pm
0.1435 0.8565 0.5000 Sn
0.3050 0.6950 0.0000 Sn
0.6950 0.3050 0.0000 Sn
0.8565 0.1435 0.5000 Sn
0.4331 0.5669 0.5000 Au
0.5669 0.4331 0.5000 Au
```


Number 1: ΔE_f -0.5369 eV/atom, raw total energy -59.3 eV per cell. Number 2: ΔE_f -0.5351 eV/atom, raw total energy -42.5 eV per cell. Number 3: ΔE_f -0.5373 eV/atom, raw total energy -34.2 eV per cell. Number 4: ΔE_f -0.5417 eV/atom, raw total energy -85.2 eV per cell. Number 5: ΔE_f -0.5391 eV/atom, raw total energy -22.0 eV per cell. Number 6: ΔE_f -0.4712 eV/atom, raw total energy -56.7 eV per cell. Number 7: ΔE_f -0.1826 eV/atom, raw total energy -47.2 eV per cell. Number 8: ΔE_f -0.6273 eV/atom, raw total energy -32.5 eV per cell. Number 9: ΔE_f -0.4090 eV/atom, raw total energy -24.3 eV per cell. Number 10: ΔE_f -0.7034 eV/atom, raw total energy -94.3 eV per cell. Number 11: ΔE_f -0.1992 eV/atom, raw total energy -44.6 eV per cell. Number 12: ΔE_f -0.3092 eV/atom, raw total energy -30.9 eV per cell. Number 13: ΔE_f -0.6956 eV/atom, raw total energy -50.0 eV per cell. Number 14: ΔE_f -0.6472 eV/atom, raw total energy -34.8 eV per cell. Number 15: ΔE_f -0.7614 eV/atom, raw total energy -55.8 eV per cell. Number 16: ΔE_f -0.3657 eV/atom, raw total energy -71.4 eV per cell. Number 17: ΔE_f -0.6634 eV/atom, raw total energy -36.7 eV per cell. Number 18: ΔE_f -0.5152 eV/atom, raw total energy -86.1 eV per cell. Number 19: ΔE_f -0.5255 eV/atom, raw total energy -27.9 eV per cell. Number 20: ΔE_f -0.2798 eV/atom, raw total energy -29.3 eV per cell.